# Ac2VCu2O6 (PBE+U, relaxed)
# Calculated total energy, eV per formula unit: -75.72
# Spin magnetization, μB/f.u.: 0.95
data_Ac2VCu2O6
_symmetry_space_group_name_H-M 'R -3 m'
_symmetry_Int_Tables_number 166
_symmetry_space_group_name_Hall '-R 3 2"'
_cell_length_a 5.9332
_cell_length_b 5.9332
_cell_length_c 14.9252
_cell_angle_alpha 90.00
_cell_angle_beta 90.00
_cell_angle_gamma 120.00
loop_
_atom_site_label
_atom_site_fract_x
_atom_site_fract_y
_atom_site_fract_z
Ac1 0.0000 0.0000 0.2206
V1 0.0000 0.0000 0.0000
Cu1 0.0000 0.0000 0.4162
O1 0.0385 0.5192 0.7509